VASP calculation (PBE) on an optimized crystal structure of AlNi4Br.

Results
* ΔE_f (raw): 33.46 kJ/mol of atoms
* total magnetization: 1.4 μB/cell
* space-group type: F-43m (216)
* VASP energy: -4.41 eV per atom

a = 4.8596 Å, b = 4.8596 Å, c = 4.8596 Å
α = 60.00°, β = 60.00°, γ = 60.00°
Fractional coordinates of all 6 atoms:
Al 0.0000 0.0000 0.0000
Ni 0.1212 0.6263 0.6263
Ni 0.6263 0.1212 0.6263
Ni 0.6263 0.6263 0.1212
Ni 0.6263 0.6263 0.6263
Br 0.2500 0.2500 0.2500